1.
DFT (PBE) results for SrLi2TlHg2 after structural relaxation.

Unit cell a=4.8503 b=4.8503 c=7.3278 alpha=90.00 beta=90.00 gamma=120.00
Closest atoms and distances in Å follow each position.
Sites, in units of the cell vectors:
Li 0.3333 0.6667 0.6515  4 Hg 2.85-2.87, 3 Tl 3.01
Li 0.6667 0.3333 0.3485  4 Hg 2.85-2.87, 3 Tl 3.01
Hg 0.6667 0.3333 0.7367  4 Li 2.85-2.87
Hg 0.3333 0.6667 0.2633  4 Li 2.85-2.87
Sr 0.0000 0.0000 0.0000  6 Hg 3.40, 2 Tl 3.66, 6 Li 3.79
Tl 0.0000 0.0000 0.5000  6 Li 3.01, 6 Hg 3.29

Computed properties:
Energy of formation: -0.378 eV/atom



2.
DFT (PBE) results for Na2SrMg after structural relaxation.

Unit cell a=3.8587 b=3.8587 c=12.3365 alpha=81.00 beta=81.00 gamma=60.00
Closest atoms and distances in Å follow each position.
Sites, in units of the cell vectors:
Na 0.2587 0.2587 0.2239  3 Mg 3.51, 6 Na 3.86
Na 0.0746 0.0746 0.7761  3 Mg 3.51, 6 Na 3.86
Sr 0.5000 0.5000 0.5000  6 Sr 3.86, 6 Na 4.02
Mg 0.6667 0.6667 0.0000  6 Na 3.51, 6 Mg 3.86

Computed properties:
Energy of formation: 0.163 eV/atom



3.
DFT (PBE) results for Tm6Te2Pd after structural relaxation.

Unit cell a=6.3023 b=7.7517 c=10.1085 alpha=90.00 beta=92.24 gamma=90.00
Closest atoms and distances in Å follow each position.
Sites, in units of the cell vectors:
Tm 0.1431 0.0289 0.7573  1 Pd 2.73
Tm 0.1276 0.2971 0.0432  1 Pd 2.87, 2 Te 3.07-3.17
Tm 0.6326 0.1697 0.9563  1 Pd 2.73
Tm 0.3569 0.5289 0.7427  1 Pd 2.73
Tm 0.1326 0.3303 0.4563  1 Pd 2.73
Tm 0.3724 0.7971 0.4568  1 Pd 2.87, 2 Te 3.07-3.17
Tm 0.8724 0.7029 0.9568  1 Pd 2.87, 2 Te 3.07-3.17
Tm 0.8569 0.9711 0.2427  1 Pd 2.73
Tm 0.6276 0.2029 0.5432  1 Pd 2.87, 2 Te 3.07-3.17
Tm 0.6431 0.4711 0.2573  1 Pd 2.73
Tm 0.8674 0.6697 0.5437  1 Pd 2.73
Tm 0.3674 0.8303 0.0437  1 Pd 2.73
Te 0.1032 0.6137 0.2404  7 Tm 3.07-3.24
Te 0.6032 0.8863 0.7404  7 Tm 3.07-3.24
Te 0.3968 0.1137 0.2596  7 Tm 3.07-3.24
Te 0.8968 0.3863 0.7596  7 Tm 3.07-3.24
Pd 0.0000 0.0000 0.5000  6 Tm 2.73-2.87
Pd 0.5000 0.5000 0.0000  6 Tm 2.73-2.87

Computed properties:
Uncorrected formation energy: -0.68 eV per atom